No. 1
AlGaNiOs after structural relaxation. Source: the Alexandria database, functional PBE.

Formation enthalpy at 0 K in eV per atom: -0.323
N(E_F) in states/eV per atom: 0.3067
Crystal system: cubic
Total energy in eV/atom: -6.268
Spin magnetization in μB per formula unit: 0.00

Structure (extended XYZ):
```
4
Lattice="4.214 0.000 0.000 2.107 3.650 0.000 2.107 1.217 3.441" Properties=species:S:1:pos:R:3 pbc="T T T"
Ni 2.107 1.217 0.860
Al 0.000 0.000 0.000
Os 6.322 3.650 2.581
Ga 4.214 2.433 1.721
```


No. 2
AlGaNiOs after structural relaxation. Source: the Alexandria database, functional PBE.

Formation enthalpy at 0 K in eV per atom: -0.354
N(E_F) in states/eV per atom: 0.4640
Crystal system: tetragonal
Total energy in eV/atom: -6.300
Spin magnetization in μB per formula unit: 0.00

Structure (extended XYZ):
```
4
Lattice="-0.815 -0.121 2.928 0.113 -3.038 -0.094 5.502 0.157 1.538" Properties=species:S:1:pos:R:3 pbc="T T T"
Ga 4.682 0.133 1.309
Os 0.251 -1.562 1.585
Al 1.975 0.056 0.552
Ni 2.998 -1.484 2.353
```


No. 3
PaAlGaNi after structural relaxation. Source: the Alexandria database, functional PBE.

Formation enthalpy at 0 K in eV per atom: -0.288
N(E_F) in states/eV per atom: 1.2913
Crystal system: cubic
Total energy in eV/atom: -5.799
Spin magnetization in μB per formula unit: 0.00

Structure (extended XYZ):
```
4
Lattice="4.642 0.000 0.000 2.321 4.020 0.000 2.321 1.340 3.790" Properties=species:S:1:pos:R:3 pbc="T T T"
Al 0.000 0.000 0.000
Pa 4.642 2.680 1.895
Ni 6.963 4.020 2.842
Ga 2.321 1.340 0.947
```


Q: spin magnetization of number 2 (AlGaNiOs)?
A: 0.00 μB per formula unit